# 1
{
  "formula": "Dy2Y2N3",
  "functional": "PBE-GGA",
  "state": "optimized geometry",
  "lattice": [[-1.6731, 2.8617, 1.1192], [-4.0375, -3.4876, 2.8818], [4.8202, -0.7377, 3.6237]],
  "species": ["Dy", "Dy", "Y", "Y", "N", "N", "N"],
  "fractional_positions": [[0.3747, 0.1142, 0.7493], [0.6253, 0.8858, 0.2507], [0.1336, 0.3648, 0.2673], [0.8664, 0.6352, 0.7327], [0.7475, 0.2491, 0.4950], [0.2525, 0.7509, 0.5050], [0.0000, 0.0000, 0.0000]],
  "e_form_raw_ev_per_fu": -10.1,
  "magnetic_moment_mub_per_fu": 0.00,
  "dos_at_fermi_per_ev_cell": 2.219
}

***

# 2
{
  "formula": "Rb6CeCl12",
  "functional": "PBE-GGA",
  "state": "optimized geometry",
  "lattice": [[1.1034, -9.1273, 0.4444], [8.0128, 2.5070, 3.7725], [-5.3628, 1.0668, 7.4043]],
  "species": ["Cl", "Cl", "Cl", "Cl", "Cl", "Cl", "Cl", "Cl", "Cl", "Cl", "Cl", "Cl", "Rb", "Rb", "Rb", "Rb", "Rb", "Rb", "Ce"],
  "fractional_positions": [[0.9412, 0.7138, 0.0178], [0.0588, 0.2862, 0.9822], [0.4653, 0.1448, 0.5782], [0.9822, 0.0588, 0.2862], [0.2862, 0.9822, 0.0588], [0.5782, 0.4653, 0.1448], [0.1448, 0.5782, 0.4653], [0.4218, 0.5347, 0.8552], [0.0178, 0.9412, 0.7138], [0.8552, 0.4218, 0.5347], [0.5347, 0.8552, 0.4218], [0.7138, 0.0178, 0.9412], [0.7177, 0.3767, 0.8389], [0.2823, 0.6233, 0.1611], [0.8389, 0.7177, 0.3767], [0.3767, 0.8389, 0.7177], [0.1611, 0.2823, 0.6233], [0.6233, 0.1611, 0.2823], [0.0000, 0.0000, 0.0000]],
  "e_form_raw_ev_per_fu": -32.2,
  "magnetic_moment_mub_per_fu": 1.99,
  "dos_at_fermi_per_ev_cell": 8.220
}

***

# 3
{
  "formula": "Tb2PrSm2Er2",
  "functional": "PBE-GGA",
  "state": "optimized geometry",
  "lattice": [[-2.4777, 0.8275, 2.3850], [5.3965, 0.3061, 2.8771], [3.6619, 11.2942, -0.1144]],
  "species": ["Tb", "Tb", "Er", "Er", "Sm", "Sm", "Pr"],
  "fractional_positions": [[0.5513, 0.1026, 0.2277], [0.4487, 0.8974, 0.7723], [0.7759, 0.5518, 0.3610], [0.2241, 0.4482, 0.6390], [0.3299, 0.6598, 0.0829], [0.6701, 0.3402, 0.9171], [0.0000, 0.0000, 0.5000]],
  "total_energy_ev_per_cell": -31.97,
  "magnetic_moment_mub_per_fu": 0.00,
  "dos_at_fermi_per_ev_cell": 12.359
}

***

# 4
{
  "formula": "LaSm2Cd2",
  "functional": "PBE-GGA",
  "state": "optimized geometry",
  "lattice": [[-4.6236, 0.3101, -2.9566], [2.8160, -3.6819, -4.7899], [-0.4308, -6.9105, 5.0587]],
  "species": ["Cd", "Cd", "Cd", "Cd", "Sm", "Sm", "Sm", "Sm", "La", "La"],
  "fractional_positions": [[0.2058, 0.1317, 0.4116], [0.6258, 0.4101, 0.2517], [0.7942, 0.6317, 0.5884], [0.3742, 0.9101, 0.7483], [0.9738, 0.7791, 0.9475], [0.8002, 0.1313, 0.6003], [0.0262, 0.2791, 0.0525], [0.1998, 0.6313, 0.3997], [0.4125, 0.4133, 0.8249], [0.5875, 0.9133, 0.1751]],
  "de_polymorph_ev_per_atom": 0.060,
  "magnetic_moment_mub_per_fu": 0.00,
  "dos_at_fermi_per_ev_cell": 10.288
}